Below is crystalline ThZr2S6 at its relaxed geometry, with properties calculated at the PBE level.

```
ThZr2S6
1.0
4.8270 0.0000 0.0000
2.4135 6.5503 -0.5588
2.4135 2.0340 7.0507
Th Zr S
1 2 6
Direct
0.0000 0.5000 0.5000
0.1790 0.7555 0.8865
0.8210 0.2445 0.1135
0.7484 0.6255 0.8776
0.2516 0.3745 0.1224
0.9658 0.8598 0.2085
0.3623 0.7192 0.5561
0.0342 0.1402 0.7915
0.6377 0.2808 0.4439
```

Summary:
The value obtained for the electronic total energy is -7.056 eV per atom. The value obtained for the formation energy from raw total energies is -1580 meV/atom. As for the density of states at the Fermi level: 0.000 states/eV per cell. The value obtained for the magnetic moment is 0.00 Bohr magnetons per cell.

Below is crystalline Na8B11C5 at its relaxed geometry, with properties calculated at the PBE level.

```
Na8B11C5
1.0
-3.9180 4.0439 0.3922
-0.3316 -3.8329 -4.4096
-4.8415 -5.1611 4.8502
Na C B
8 5 11
Direct
0.5012 0.5018 0.0021
0.5012 0.5018 0.4979
0.5000 0.0000 0.0039
0.5000 0.0000 0.4961
0.0005 0.5018 0.0021
0.0005 0.5018 0.4979
0.0001 0.0002 0.0011
0.0001 0.0002 0.4989
0.3309 0.1634 0.2500
0.1683 0.8367 0.7500
0.8324 0.1634 0.2500
0.6684 0.8367 0.7500
0.8315 0.6631 0.2500
0.1746 0.3492 0.7500
0.1604 0.3207 0.2500
0.3183 0.1363 0.7500
0.3293 0.6588 0.2500
0.1639 0.8449 0.2500
0.3397 0.6793 0.7500
0.6746 0.3492 0.7500
0.6652 0.3303 0.2500
0.8180 0.1363 0.7500
0.6811 0.8449 0.2500
0.8397 0.6794 0.7500
```

Summary:
The value obtained for the electronic total energy is -5.292 eV per atom. Its formation energy is 3.11 eV per formula unit. As for the density of states at the Fermi level: 4.857 states/eV per cell. The value obtained for the magnetic moment is 0.00 Bohr magnetons per cell.

Below is crystalline NaSrTlSb at its relaxed geometry, with properties calculated at the PBE level.

```
NaSrTlSb
1.0
-4.6153 2.5676 1.9180
-4.9232 -0.7595 -2.5995
-4.0550 -2.9948 2.4820
Sb Tl Na Sr
1 1 1 1
Direct
0.2500 0.2500 0.2500
0.7500 0.7500 0.7500
0.5000 0.5000 0.5000
0.0000 0.0000 0.0000
```

Summary:
The value obtained for the electronic total energy is -2.822 eV per atom. The value obtained for the formation energy from raw total energies is -450 meV/atom. As for the density of states at the Fermi level: 4.005 states/eV per cell. The value obtained for the magnetic moment is 0.00 Bohr magnetons per cell.

Below is crystalline CsCaRh2 at its relaxed geometry, with properties calculated at the PBE level.

```
CsCaRh2
1.0
5.0366 0.0000 0.0000
0.0000 5.0366 0.0000
2.5183 2.5183 9.6840
Cs Ca Rh
2 2 4
Direct
0.0000 0.0000 0.0000
0.7500 0.2500 0.5000
0.5000 0.5000 0.0000
0.2500 0.7500 0.5000
0.4515 0.1250 0.2500
0.2985 0.6250 0.2500
0.3750 0.5485 0.7500
0.8750 0.7015 0.7500
```

Summary:
The value obtained for the electronic total energy is -3.813 eV per atom. Its formation energy is 2.31 eV per formula unit. As for the density of states at the Fermi level: 6.963 states/eV per cell. The value obtained for the magnetic moment is 1.14 Bohr magnetons per cell.

Below is crystalline TbMg2Tl at its relaxed geometry, with properties calculated at the PBE level.

```
TbMg2Tl
1.0
-1.7306 -3.1897 -3.7244
3.3781 -2.7021 -2.8857
0.3934 -5.1509 0.5986
Tl Tb Mg
1 1 2
Direct
0.5000 0.5000 0.5000
0.0000 0.0000 0.0000
0.7501 0.7501 0.7498
0.2499 0.2499 0.2502
```

Summary:
The value obtained for the electronic total energy is -2.581 eV per atom. Its formation energy is -0.14 eV per formula unit. As for the density of states at the Fermi level: 1.632 states/eV per cell. The value obtained for the magnetic moment is 0.00 Bohr magnetons per cell.

Below is crystalline KNiAs2 at its relaxed geometry, with properties calculated at the PBE level.

```
KNiAs2
1.0
0.0000 3.3800 3.3800
3.3800 0.0000 3.3800
3.3800 3.3800 0.0000
Ni As K
1 2 1
Direct
0.5000 0.5000 0.5000
0.2500 0.2500 0.2500
0.7500 0.7500 0.7500
0.0000 0.0000 0.0000
```

Summary:
The value obtained for the electronic total energy is -3.650 eV per atom. Its formation energy is 1.58 eV per formula unit. As for the density of states at the Fermi level: 2.605 states/eV per cell. The value obtained for the magnetic moment is 0.00 Bohr magnetons per cell.

Below is crystalline LiNbSiRu at its relaxed geometry, with properties calculated at the PBE level.

```
LiNbSiRu
1.0
-1.6022 -2.7960 2.8189
2.5439 -2.9581 1.7632
1.0645 0.2831 4.1373
Ru Nb Si Li
1 1 1 1
Direct
0.5000 0.5000 0.5000
0.2500 0.2500 0.2500
0.7500 0.7500 0.7500
0.0000 0.0000 0.0000
```

Summary:
The value obtained for the electronic total energy is -7.193 eV per atom. The value obtained for the formation energy from raw total energies is -522 meV/atom. As for the density of states at the Fermi level: 0.172 states/eV per cell. The value obtained for the magnetic moment is 0.00 Bohr magnetons per cell.

Below is crystalline CoTc2 at its relaxed geometry, with properties calculated at the PBE level.

```
CoTc2
1.0
6.5550 7.6036 6.6795
5.1303 10.0396 4.2761
-7.2923 -8.5599 -4.3531
Co Tc
2 4
Direct
0.0000 0.0000 0.0000
0.7500 0.2500 0.5000
0.3260 0.8260 0.5000
0.1740 0.6740 0.5000
0.5760 0.5760 0.0000
0.4240 0.4240 0.0000
```

Summary:
The value obtained for the electronic total energy is -9.000 eV per atom. Its formation energy is 0.84 eV per formula unit. As for the density of states at the Fermi level: 8.089 states/eV per cell. The value obtained for the magnetic moment is 1.99 Bohr magnetons per cell.

Below is crystalline NaAc6Ru2 at its relaxed geometry, with properties calculated at the PBE level.

```
NaAc6Ru2
1.0
4.0470 0.0000 0.0000
-2.0235 7.9668 1.9763
0.0000 1.4517 10.9597
Na Ac Ru
1 6 2
Direct
0.0000 0.0000 0.5000
0.9659 0.9319 0.8639
0.7552 0.5104 0.1711
0.2448 0.4896 0.8289
0.6522 0.3045 0.6092
0.3478 0.6955 0.3908
0.0341 0.0681 0.1361
0.6009 0.2018 0.8917
0.3991 0.7982 0.1083
```

Summary:
The value obtained for the electronic total energy is -4.987 eV per atom. Its formation energy is -0.37 eV per formula unit. As for the density of states at the Fermi level: 7.157 states/eV per cell. The value obtained for the magnetic moment is 0.00 Bohr magnetons per cell.

Below is crystalline Pr3HoCd6 at its relaxed geometry, with properties calculated at the PBE level.

```
Pr3HoCd6
1.0
5.2293 0.0000 0.0000
0.0000 9.0969 -2.6580
0.0000 0.2748 11.2432
Pr Ho Cd
6 2 12
Direct
0.2500 0.5266 0.3911
0.7500 0.4734 0.6089
0.2500 0.3462 0.7767
0.7500 0.6538 0.2233
0.2500 0.7630 0.0027
0.7500 0.2370 0.9973
0.2500 0.9474 0.5996
0.7500 0.0526 0.4004
0.2500 0.4516 0.0865
0.7500 0.5484 0.9135
0.2500 0.1492 0.1826
0.7500 0.8508 0.8174
0.2500 0.6743 0.7054
0.7500 0.3257 0.2946
0.2500 0.2281 0.4777
0.7500 0.7719 0.5223
0.2500 0.8725 0.3055
0.7500 0.1275 0.6945
0.2500 0.0463 0.8863
0.7500 0.9537 0.1137
```

Summary:
The value obtained for the electronic total energy is -2.731 eV per atom. Its formation energy is -2.90 eV per formula unit. As for the density of states at the Fermi level: 16.866 states/eV per cell. The value obtained for the magnetic moment is 0.65 Bohr magnetons per cell.

Below is crystalline SmV2Mo at its relaxed geometry, with properties calculated at the PBE level.

```
SmV2Mo
1.0
-3.8948 1.3297 -1.1338
-3.4499 -2.1695 1.2705
-2.7022 2.6409 4.3433
Mo Sm V
1 1 2
Direct
0.5000 0.5000 0.5000
0.0000 0.0000 0.0000
0.7993 0.7993 0.6020
0.2007 0.2007 0.3980
```

Summary:
The value obtained for the electronic total energy is -8.096 eV per atom. Its formation energy is 1.40 eV per formula unit. As for the density of states at the Fermi level: 5.346 states/eV per cell. The value obtained for the magnetic moment is 0.00 Bohr magnetons per cell.